(1)
Ce3GaRu | PBE | relaxed

The total energy is -6.4008 eV per atom. The formation energy is -0.380 eV/atom. The offset from the most stable computed form is 5 meV/atom. The total magnetization comes out at 0.013 μB per atom. Its density of states at the Fermi level is 19.140 states/eV/cell.

The space group is P2_1/m (No. 11) and the conventional cell measures 5.3096, 6.4289 and 7.0069 Å, with angles of 90.00, 97.74 and 90.00 degrees. The asymmetric unit holds Ce at (0.1327, 0.2500, 0.1176), Ce at (0.3585, 0.0231, 0.6543), Ga at (0.1328, 0.7500, 0.3007) and Ru at (0.3399, 0.7500, 0.9693).

---

(2)
Ce6GaRu3 | PBE | relaxed

The total energy is -6.8728 eV per atom. The formation energy is -0.227 eV/atom. The total magnetization comes out at 0.000 μB per atom. Its density of states at the Fermi level is 73.097 states/eV/cell.

The space group is Cmc2_1 (No. 36) and the conventional cell measures 10.8067, 13.6173 and 6.7629 Å, with angles of 90.00, 90.00 and 90.00 degrees. The asymmetric unit holds Ce at (0.0000, 0.0108, 0.0000), Ce at (0.0000, 0.2363, 0.2682), Ce at (0.1617, 0.4260, 0.4849), Ce at (0.1932, 0.3066, 0.0143), Ga at (0.0000, 0.2140, 0.7273), Ru at (0.0000, 0.4463, 0.2043) and Ru at (0.1788, 0.0852, 0.2404).